A plane-wave DFT calculation with PBE+U was carried out for a relaxed FePdO2F crystal.

Size of the total moment, μB/f.u.: 3.9
E, Ry per atom: -0.35952
Calculated density, Mg/m³: 5.5

a = 4.034 Å, b = 4.034 Å, c = 3.979 Å
α = 90.00°, β = 90.00°, γ = 90.00°
Sites, in units of the cell vectors:
Fe (0.000, 0.000, 0.000)
Pd (0.500, 0.500, 0.500)
O (0.000, 0.500, 0.500)
O (0.500, 0.000, 0.500)
F (0.500, 0.500, 0.000)